(1)
14
Lattice="4.528 -4.979 0.000 4.528 4.979 0.000 -4.163 0.000 10.960" Properties=species:S:1:pos:R:3 comment="AcLaY5 PBE optimized geometry" magnetic_moment_mub_per_fu=0.00 pbc="T T T"
Ac 2.264 2.490 0.000
Ac 0.182 -2.490 5.480
La 1.406 2.620 8.220
La 3.487 -2.620 2.740
Y -1.633 0.731 7.290
Y 0.448 -0.731 1.810
Y 1.070 1.023 5.088
Y 3.487 0.788 2.740
Y -1.012 -1.023 10.568
Y 5.905 1.023 0.392
Y 1.406 -0.788 8.220
Y 3.823 -1.023 5.872
Y 4.445 0.731 9.149
Y 6.526 -0.731 3.670

=====

(2)
11
Lattice="-3.592 3.592 8.502 3.592 -3.592 8.502 3.592 3.592 -8.502" Properties=species:S:1:pos:R:3 comment="Ac4La6Y PBE optimized geometry" magnetic_moment_mub_per_fu=0.00 pbc="T T T"
Ac 2.225 -2.225 5.396
Ac 1.367 1.367 3.107
Ac -2.225 2.225 5.396
Ac 2.225 2.225 11.609
La 3.592 0.000 0.000
La 2.375 2.375 -1.740
La 1.218 -1.218 10.242
La 0.000 3.592 0.000
La 1.218 1.218 6.763
La -1.218 1.218 10.242
Y 0.000 0.000 0.000

=====

(3)
4
Lattice="1.871 1.080 11.988 -1.871 1.080 11.988 0.000 -2.160 11.988" Properties=species:S:1:pos:R:3 comment="AcLaY2 PBE optimized geometry" relative_energy_ev_per_atom=0.020 magnetic_moment_mub_per_fu=0.00 pbc="T T T"
Ac 0.000 0.000 0.000
La 0.000 0.000 5.977
Y 0.000 0.000 20.876
Y 0.000 0.000 27.040

=====

What final energy values result from the calculations? In sequence: -40.72; -50.18; -21.77 eV per formula unit.